# MnPdPtO4

An optimized crystal structure of MnPdPtO4 (PBE with a Hubbard U, Alexandria).

- DOS at the Fermi energy: 4.6 states/eV/f.u.
- Final energy: -86.24 eV per cell

Cell: 5.971 7.327 5.826 Å, 113.43 90.00 114.05°
Positions (direct):
O: 0.755 0.075 0.788
O: 0.784 0.568 0.749
O: 0.216 0.432 0.681
O: 0.320 0.075 0.788
O: 0.680 0.925 0.212
O: 0.784 0.568 0.319
O: 0.245 0.925 0.212
O: 0.216 0.432 0.251
Mn: 0.120 0.240 0.870
Mn: 0.880 0.760 0.130
Pt: 0.000 0.500 0.500
Pt: 0.500 0.500 0.500
Pd: 0.500 0.000 0.500
Pd: 0.500 0.000 0.000